1:
Compound: CuMoN2
Source: Alexandria
Functional: PBE
Structure: optimized geometry

Cell and atoms, written as CIF:
```
data_CuMoN2
_chemical_formula_sum 'Cu4 Mo4 N8'
_symmetry_space_group_name_H-M 'I -4 2 d'
_symmetry_Int_Tables_number 122
_symmetry_space_group_name_Hall 'I -4 2bw'
_cell_length_a 4.588
_cell_length_b 4.588
_cell_length_c 9.262
_cell_angle_alpha 90.00
_cell_angle_beta 90.00
_cell_angle_gamma 90.00
loop_
_atom_site_label
_atom_site_type_symbol
_atom_site_fract_x
_atom_site_fract_y
_atom_site_fract_z
Cu1 Cu 0.000 0.000 0.000
Mo1 Mo 0.000 0.000 0.500
N1 N 0.229 0.250 0.625
```

Results
**Size of the total moment**: 0.00 μB per cell

=====

2:
Compound: CuMoN2
Source: Alexandria
Functional: PBE
Structure: optimized geometry

Cell and atoms, written as CIF:
```
data_CuMoN2
_chemical_formula_sum 'Cu4 Mo4 N8'
_symmetry_space_group_name_H-M 'F m -3 m'
_symmetry_Int_Tables_number 225
_symmetry_space_group_name_Hall '-F 4 2 3'
_cell_length_a 5.293
_cell_length_b 5.293
_cell_length_c 5.293
_cell_angle_alpha 90.00
_cell_angle_beta 90.00
_cell_angle_gamma 90.00
loop_
_atom_site_label
_atom_site_type_symbol
_atom_site_fract_x
_atom_site_fract_y
_atom_site_fract_z
Cu1 Cu 0.000 0.000 0.000
Mo1 Mo 0.000 0.000 0.500
N1 N 0.250 0.250 0.250
```

Results
**Size of the total moment**: 0.00 μB per cell

=====

So which one wins? Going from most stable to least: 1, 2.

=====

1:
Compound: CuMoSe2N
Source: Alexandria
Functional: PBE
Structure: optimized geometry

Cell and atoms, written as CIF:
```
data_CuMoSe2N
_chemical_formula_sum 'Cu1 Mo1 Se2 N1'
_symmetry_space_group_name_H-M 'P 4/m m m'
_symmetry_Int_Tables_number 123
_symmetry_space_group_name_Hall '-P 4 2'
_cell_length_a 4.946
_cell_length_b 4.946
_cell_length_c 3.549
_cell_angle_alpha 90.00
_cell_angle_beta 90.00
_cell_angle_gamma 90.00
loop_
_atom_site_label
_atom_site_type_symbol
_atom_site_fract_x
_atom_site_fract_y
_atom_site_fract_z
Cu1 Cu 0.000 0.000 0.000
Mo1 Mo 0.500 0.500 0.500
Se1 Se 0.000 0.500 0.000
N1 N 0.000 0.000 0.500
```

Results
**Size of the total moment**: 4.58 μB per cell

=====

2:
Compound: CuMoSe2N
Source: Alexandria
Functional: PBE
Structure: optimized geometry

Cell and atoms, written as CIF:
```
data_CuMoSe2N
_chemical_formula_sum 'Cu1 Mo1 Se2 N1'
_symmetry_space_group_name_H-M 'P 4/m m m'
_symmetry_Int_Tables_number 123
_symmetry_space_group_name_Hall '-P 4 2'
_cell_length_a 5.048
_cell_length_b 5.048
_cell_length_c 3.775
_cell_angle_alpha 90.00
_cell_angle_beta 90.00
_cell_angle_gamma 90.00
loop_
_atom_site_label
_atom_site_type_symbol
_atom_site_fract_x
_atom_site_fract_y
_atom_site_fract_z
Cu1 Cu 0.000 0.000 0.000
Mo1 Mo 0.500 0.500 0.500
Se1 Se 0.000 0.500 0.500
N1 N 0.500 0.500 0.000
```

Results
**Size of the total moment**: 0.00 μB per cell

=====

So which one wins? Going from most stable to least: 2, 1.